# 1
4
Lattice="3.627 0.000 0.000 0.000 3.627 0.000 0.000 0.000 9.285" Properties=species:S:1:pos:R:3 comment="Ca2LaAg (PBEsol, relaxed)" energy_ev_per_atom=-3.30 spacegroup="No. 123" ef_ev_per_atom=-0.074 magnetic_moment_mub_per_atom=0.00 pbc="T T T"
Ca 0.000 0.000 1.793
Ca 0.000 0.000 7.491
La 1.813 1.813 4.642
Ag 1.813 1.813 0.000

=====

# 2
10
Lattice="7.940 0.000 0.000 0.000 7.940 0.000 0.000 0.000 4.431" Properties=species:S:1:pos:R:3 comment="Ca2LaAg2 (PBEsol, relaxed)" energy_ev_per_atom=-3.45 spacegroup="No. 127" ef_ev_per_atom=-0.199 magnetic_moment_mub_per_atom=0.00 pbc="T T T"
Ca 1.311 2.659 0.000
Ca 2.659 6.629 0.000
Ca 5.281 1.311 0.000
Ca 6.629 5.281 0.000
La 0.000 0.000 2.216
La 3.970 3.970 2.216
Ag 0.994 4.964 2.216
Ag 2.976 0.994 2.216
Ag 4.964 6.946 2.216
Ag 6.946 2.976 2.216